No. 1
Entry from Alexandria: a geometry-optimized ScCo4 structure (GGA-PBE).

Results
- Space-group type: I4/mmm, No. 139
- Offset from the most stable computed form: 0 meV per atom

```
data_ScCo4
_cell_length_a 5.607
_cell_length_b 5.607
_cell_length_c 5.607
_cell_angle_alpha 141.34
_cell_angle_beta 141.34
_cell_angle_gamma 55.82
_space_group_name_H-M_alt 'P 1'
_space_group_IT_number 1
_space_group_name_Hall 'P 1'
loop_
_atom_site_label
_atom_site_type_symbol
_atom_site_fract_x
_atom_site_fract_y
_atom_site_fract_z
Sc1 Sc 0.000 0.000 0.000
Co1 Co 0.250 0.750 0.500
Co2 Co 0.611 0.611 0.000
Co3 Co 0.389 0.389 0.000
Co4 Co 0.750 0.250 0.500
```

=====

No. 2
Entry from Alexandria: a geometry-optimized SnHgN2O structure (GGA-PBE).

Results
- Formation energy without anion corrections: 451 kJ/mol of formula units
- Space-group type: P4/mmm, No. 123

```
data_SnHgN2O
_cell_length_a 4.269
_cell_length_b 4.269
_cell_length_c 4.067
_cell_angle_alpha 90.00
_cell_angle_beta 90.00
_cell_angle_gamma 90.00
_space_group_name_H-M_alt 'P 1'
_space_group_IT_number 1
_space_group_name_Hall 'P 1'
loop_
_atom_site_label
_atom_site_type_symbol
_atom_site_fract_x
_atom_site_fract_y
_atom_site_fract_z
N1 N 0.000 0.500 0.000
N2 N 0.500 0.000 0.000
Hg1 Hg 0.500 0.500 0.500
O1 O 0.000 0.000 0.500
Sn1 Sn 0.000 0.000 0.000
```

=====

No. 3
Entry from Alexandria: a geometry-optimized NaSiRhO4 structure (GGA-PBE).

Results
- Formation energy without anion corrections: -1044 kJ/mol of formula units
- Space-group type: Cmcm, No. 63

```
data_NaSiRhO4
_cell_length_a 5.396
_cell_length_b 5.396
_cell_length_c 6.580
_cell_angle_alpha 90.00
_cell_angle_beta 90.00
_cell_angle_gamma 112.84
_space_group_name_H-M_alt 'P 1'
_space_group_IT_number 1
_space_group_name_Hall 'P 1'
loop_
_atom_site_label
_atom_site_type_symbol
_atom_site_fract_x
_atom_site_fract_y
_atom_site_fract_z
Na1 Na 0.500 0.500 0.500
Na2 Na 0.500 0.500 0.000
Si1 Si 0.117 0.883 0.250
Si2 Si 0.883 0.117 0.750
Rh1 Rh 0.816 0.184 0.250
Rh2 Rh 0.184 0.816 0.750
O1 O 0.215 0.208 0.750
O2 O 0.792 0.785 0.750
O3 O 0.776 0.224 0.951
O4 O 0.776 0.224 0.549
O5 O 0.224 0.776 0.049
O6 O 0.224 0.776 0.451
O7 O 0.785 0.792 0.250
O8 O 0.208 0.215 0.250
```

=====

| no. | total magnetic moment (μB per formula unit) | calculated volume (Å³/cell) |
| --- | --- | --- |
| 1 | 5.568 | 68.27 |
| 2 | 2.312 | 74.10 |
| 3 | 0.000 | 176.55 |